Run a
Crystalline BaLa2Co3O9 at its relaxed geometry, computed with GGA+U.

Summary:
- space group = No. 2
- mass density (Mg/m³) = 6.83
- calculated volume (Å³ per cell) = 357.8

Cell lengths 5.5394, 5.5417, 13.3976 Å; angles 88.97, 88.92, 60.49 degrees
Last column: nearest neighbours and their distance in Å.
Element x y z (fractional)
Ba  0.0046  0.0032  0.2486  12 O 2.68-2.90
Ba  0.9954  0.9968  0.7514  12 O 2.68-2.90
La  0.3288  0.3317  0.5819  8 O 2.48-2.75
La  0.3364  0.3331  0.0803  6 O 2.45-2.70
La  0.6636  0.6669  0.9197  6 O 2.45-2.70
La  0.6712  0.6683  0.4181  8 O 2.48-2.75
Co  0.0000  0.0000  0.0000  6 O 1.96-1.97
Co  0.0000  0.0000  0.5000  6 O 1.97-1.99
Co  0.3324  0.3311  0.8340  6 O 1.87-2.06
Co  0.3380  0.3337  0.3340  6 O 1.91-1.99
Co  0.6620  0.6663  0.6660  6 O 1.91-1.99
Co  0.6676  0.6689  0.1660  6 O 1.87-2.06
O  0.0107  0.4847  0.2555  2 Co 1.91-2.06
O  0.1207  0.2236  0.9199  2 Co 1.92-1.97
O  0.1276  0.6529  0.4246  2 Co 1.98-1.99
O  0.2262  0.6575  0.9261  2 Co 1.96-2.04
O  0.2314  0.1165  0.4226  2 Co 1.96-1.97
O  0.3387  0.8902  0.0762  2 Co 1.96-2.02
O  0.3402  0.7764  0.5798  2 Co 1.97-1.99
O  0.4836  0.9862  0.7490  2 Co 1.91-2.03
O  0.4925  0.5272  0.2501  2 Co 1.87-1.99
O  0.5075  0.4728  0.7499  2 Co 1.87-1.99
O  0.5164  0.0138  0.2510  2 Co 1.91-2.03
O  0.6598  0.2236  0.4202  2 Co 1.97-1.99
O  0.6613  0.1098  0.9238  2 Co 1.96-2.02
O  0.7686  0.8835  0.5774  2 Co 1.96-1.97
O  0.7738  0.3425  0.0739  2 Co 1.96-2.04
O  0.8724  0.3471  0.5754  2 Co 1.98-1.99
O  0.8793  0.7764  0.0801  2 Co 1.92-1.97
O  0.9893  0.5153  0.7445  2 Co 1.91-2.06

Run b
Crystalline BaLa2Co3O9 at its relaxed geometry, computed with GGA+U.

Summary:
- space group = No. 164
- mass density (Mg/m³) = 6.86
- calculated volume (Å³ per cell) = 178.2

Cell lengths 5.5332, 5.5332, 6.7208 Å; angles 90.00, 90.00, 120.00 degrees
Last column: nearest neighbours and their distance in Å.
Element x y z (fractional)
Ba  0.0000  0.0000  0.0000  12 O 2.77-2.86
La  0.3333  0.6667  0.6668  12 O 2.64-2.77
La  0.6667  0.3333  0.3332  12 O 2.64-2.77
Co  0.0000  0.0000  0.5000  6 O 1.95
Co  0.3333  0.6667  0.1660  6 O 1.95-1.96
Co  0.6667  0.3333  0.8340  6 O 1.95-1.96
O  0.0000  0.5000  0.0000  2 Co 1.95
O  0.1724  0.3448  0.3472  2 Co 1.95-1.96
O  0.1724  0.8276  0.3472  2 Co 1.95-1.96
O  0.3448  0.1724  0.6528  2 Co 1.95-1.96
O  0.5000  0.0000  0.0000  2 Co 1.95
O  0.5000  0.5000  0.0000  2 Co 1.95
O  0.6552  0.8276  0.3472  2 Co 1.95-1.96
O  0.8276  0.1724  0.6528  2 Co 1.95-1.96
O  0.8276  0.6552  0.6528  2 Co 1.95-1.96

run a wins, 13 meV/atom ahead of the next structure.